The following is a PBE-GGA calculation of CdSbTe after structural relaxation, from Alexandria.

Properties
uncorrected formation energy	167	meV/atom
total magnetic moment	0.00	μB per formula unit
distance to the lowest polymorph of the same formula	0.125	eV per atom
final energy	-2.5593	eV/atom

abc: 8.293 8.121 3.289
angles: 81.40 75.51 23.08
Sites, in units of the cell vectors:
Cd: 0.000 0.000 0.000
Sb: 0.351 0.351 0.649
Te: 0.654 0.654 0.346


The following is a PBE-GGA calculation of Cd2SbTe after structural relaxation, from Alexandria.

Properties
uncorrected formation energy	99	meV/atom
total magnetic moment	0.00	μB per formula unit
distance to the lowest polymorph of the same formula	0.210	eV per atom
final energy	-2.1748	eV/atom

abc: 5.704 5.704 5.704
angles: 136.47 116.20 80.41
Sites, in units of the cell vectors:
Cd: 0.247 0.247 0.000
Cd: 0.753 0.753 0.000
Sb: 0.000 0.500 0.500
Te: 0.500 0.000 0.500


The following is a PBE-GGA calculation of CdSb2Te after structural relaxation, from Alexandria.

Properties
uncorrected formation energy	118	meV/atom
total magnetic moment	0.00	μB per formula unit
distance to the lowest polymorph of the same formula	0.189	eV per atom
final energy	-2.9570	eV/atom

abc: 6.985 6.985 6.985
angles: 144.80 143.90 51.31
Sites, in units of the cell vectors:
Cd: 0.000 0.000 0.000
Sb: 0.206 0.706 0.500
Sb: 0.794 0.294 0.500
Te: 0.500 0.500 0.000


The following is a PBE-GGA calculation of Cd2SbTe after structural relaxation, from Alexandria.

Properties
uncorrected formation energy	126	meV/atom
total magnetic moment	0.00	μB per formula unit
distance to the lowest polymorph of the same formula	0.237	eV per atom
final energy	-2.1476	eV/atom

abc: 3.196 3.196 10.604
angles: 90.00 90.00 90.00
Sites, in units of the cell vectors:
Cd: 0.000 0.000 0.000
Cd: 0.500 0.500 0.211
Sb: 0.000 0.000 0.432
Te: 0.500 0.500 0.755